# 1
VASP calculation (PBE) on an optimized crystal structure of ZrCr.

Geometry as CIF:
```
data_ZrCr
_space_group_name_H-M_alt 'P 1'
_space_group_IT_number 1
_cell_length_a 5.2845
_cell_length_b 5.2845
_cell_length_c 5.2845
_cell_angle_alpha 90.00
_cell_angle_beta 90.00
_cell_angle_gamma 90.00
loop_
_space_group_symop_operation_xyz
'x,y,z'
loop_
_atom_site_label
_atom_site_type_symbol
_atom_site_fract_x
_atom_site_fract_y
_atom_site_fract_z
Zr1 Zr 0.0900 0.0900 0.0900
Zr2 Zr 0.4100 0.9100 0.5900
Zr3 Zr 0.5900 0.4100 0.9100
Zr4 Zr 0.9100 0.5900 0.4100
Cr1 Cr 0.0960 0.5960 0.9040
Cr2 Cr 0.4040 0.4040 0.4040
Cr3 Cr 0.5960 0.9040 0.0960
Cr4 Cr 0.9040 0.0960 0.5960
```

For the calculated density, the calculation gives 6.45 g/cm3. The density of states at the Fermi level comes out at 5.2 states/eV per cell. Its total magnetization is 2.1 μB per formula unit. The calculation puts the energy relative to the elements at 0.74 eV/f.u.

=====

# 2
VASP calculation (PBE) on an optimized crystal structure of SrLiSn.

Geometry as CIF:
```
data_SrLiSn
_space_group_name_H-M_alt 'P 1'
_space_group_IT_number 1
_cell_length_a 10.8610
_cell_length_b 10.8610
_cell_length_c 10.8610
_cell_angle_alpha 24.63
_cell_angle_beta 24.63
_cell_angle_gamma 24.63
loop_
_space_group_symop_operation_xyz
'x,y,z'
loop_
_atom_site_label
_atom_site_type_symbol
_atom_site_fract_x
_atom_site_fract_y
_atom_site_fract_z
Sr1 Sr 0.2236 0.2236 0.2236
Sr2 Sr 0.7764 0.7764 0.7764
Li1 Li 0.3414 0.3414 0.3414
Li2 Li 0.6586 0.6586 0.6586
Sn1 Sn 0.0445 0.0445 0.0445
Sn2 Sn 0.9555 0.9555 0.9555
```

For the calculated density, the calculation gives 3.62 g/cm3. The density of states at the Fermi level comes out at 2.9 states/eV per cell. Its total magnetization is 0.0 μB per formula unit. The calculation puts the energy relative to the elements at -1.18 eV/f.u.

=====

# 3
VASP calculation (PBE) on an optimized crystal structure of RbBeB2.

Geometry as CIF:
```
data_RbBeB2
_space_group_name_H-M_alt 'P 1'
_space_group_IT_number 1
_cell_length_a 6.5606
_cell_length_b 6.5606
_cell_length_c 6.5606
_cell_angle_alpha 134.77
_cell_angle_beta 134.77
_cell_angle_gamma 65.89
loop_
_space_group_symop_operation_xyz
'x,y,z'
loop_
_atom_site_label
_atom_site_type_symbol
_atom_site_fract_x
_atom_site_fract_y
_atom_site_fract_z
Rb1 Rb 0.3750 0.6250 0.7500
Rb2 Rb 0.6250 0.3750 0.2500
Be1 Be 0.1250 0.8750 0.2500
Be2 Be 0.8750 0.1250 0.7500
B1 B 0.0000 0.0000 0.0000
B2 B 0.0000 0.0000 0.5000
B3 B 0.0000 0.5000 0.0000
B4 B 0.5000 0.0000 0.5000
```

For the calculated density, the calculation gives 2.75 g/cm3. The density of states at the Fermi level comes out at 3.2 states/eV per cell. Its total magnetization is 0.0 μB per formula unit. The calculation puts the energy relative to the elements at 4.69 eV/f.u.

=====

# 4
VASP calculation (PBE) on an optimized crystal structure of AcScGePt.

Geometry as CIF:
```
data_AcScGePt
_space_group_name_H-M_alt 'P 1'
_space_group_IT_number 1
_cell_length_a 5.1332
_cell_length_b 5.1332
_cell_length_c 5.1332
_cell_angle_alpha 60.00
_cell_angle_beta 60.00
_cell_angle_gamma 60.00
loop_
_space_group_symop_operation_xyz
'x,y,z'
loop_
_atom_site_label
_atom_site_type_symbol
_atom_site_fract_x
_atom_site_fract_y
_atom_site_fract_z
Ac1 Ac 0.0000 0.0000 0.0000
Sc1 Sc 0.5000 0.5000 0.5000
Ge1 Ge 0.2500 0.2500 0.2500
Pt1 Pt 0.7500 0.7500 0.7500
```

For the calculated density, the calculation gives 9.37 g/cm3. The density of states at the Fermi level comes out at 1.8 states/eV per cell. Its total magnetization is 0.0 μB per formula unit. The calculation puts the energy relative to the elements at -2.79 eV/f.u.

=====

# 5
VASP calculation (PBE) on an optimized crystal structure of LiHF3.

Geometry as CIF:
```
data_LiHF3
_space_group_name_H-M_alt 'P 1'
_space_group_IT_number 1
_cell_length_a 3.4297
_cell_length_b 3.4297
_cell_length_c 3.4297
_cell_angle_alpha 90.00
_cell_angle_beta 90.00
_cell_angle_gamma 90.00
loop_
_space_group_symop_operation_xyz
'x,y,z'
loop_
_atom_site_label
_atom_site_type_symbol
_atom_site_fract_x
_atom_site_fract_y
_atom_site_fract_z
Li1 Li 0.0000 0.0000 0.0000
H1 H 0.5000 0.5000 0.5000
F1 F 0.0000 0.5000 0.5000
F2 F 0.5000 0.0000 0.5000
F3 F 0.5000 0.5000 0.0000
```

For the calculated density, the calculation gives 2.67 g/cm3. The density of states at the Fermi level comes out at 5.8 states/eV per cell. Its total magnetization is 1.0 μB per formula unit. The energy above the most stable polymorph in this dataset is 536 meV per atom.

=====

# 6
VASP calculation (PBE) on an optimized crystal structure of BC2.

Geometry as CIF:
```
data_BC2
_space_group_name_H-M_alt 'P 1'
_space_group_IT_number 1
_cell_length_a 2.5572
_cell_length_b 2.5572
_cell_length_c 13.4084
_cell_angle_alpha 90.00
_cell_angle_beta 90.00
_cell_angle_gamma 120.00
loop_
_space_group_symop_operation_xyz
'x,y,z'
loop_
_atom_site_label
_atom_site_type_symbol
_atom_site_fract_x
_atom_site_fract_y
_atom_site_fract_z
B1 B 0.0000 0.0000 0.0000
B2 B 0.0000 0.0000 0.4145
B3 B 0.3333 0.6667 0.1688
B4 B 0.6667 0.3333 0.3364
C1 C 0.0000 0.0000 0.5327
C2 C 0.0000 0.0000 0.8783
C3 C 0.3333 0.6667 0.0518
C4 C 0.3333 0.6667 0.5708
C5 C 0.3333 0.6667 0.6874
C6 C 0.6667 0.3333 0.2225
C7 C 0.6667 0.3333 0.7243
C8 C 0.6667 0.3333 0.8421
```

For the calculated density, the calculation gives 3.05 g/cm3. The density of states at the Fermi level comes out at 2.4 states/eV per cell. Its total magnetization is 0.0 μB per formula unit. The calculation puts the energy relative to the elements at 0.96 eV/f.u. The energy above the most stable polymorph in this dataset is 79 meV per atom.

=====

# 7
VASP calculation (PBE) on an optimized crystal structure of Tb5Pm5In2.

Geometry as CIF:
```
data_Tb5Pm5In2
_space_group_name_H-M_alt 'P 1'
_space_group_IT_number 1
_cell_length_a 6.2951
_cell_length_b 6.2951
_cell_length_c 12.6747
_cell_angle_alpha 92.17
_cell_angle_beta 92.17
_cell_angle_gamma 50.09
loop_
_space_group_symop_operation_xyz
'x,y,z'
loop_
_atom_site_label
_atom_site_type_symbol
_atom_site_fract_x
_atom_site_fract_y
_atom_site_fract_z
Tb1 Tb 0.0000 0.0000 0.0000
Tb2 Tb 0.1307 0.1307 0.7642
Tb3 Tb 0.2978 0.2978 0.4235
Tb4 Tb 0.7022 0.7022 0.5765
Tb5 Tb 0.8693 0.8693 0.2358
Pm1 Pm 0.0000 0.0000 0.5000
Pm2 Pm 0.3420 0.3420 0.9949
Pm3 Pm 0.4207 0.4207 0.6909
Pm4 Pm 0.5793 0.5793 0.3091
Pm5 Pm 0.6580 0.6580 0.0051
In1 In 0.1775 0.1775 0.1957
In2 In 0.8225 0.8225 0.8043
```

For the calculated density, the calculation gives 7.55 g/cm3. The density of states at the Fermi level comes out at 14.7 states/eV per cell. Its total magnetization is 0.0 μB per formula unit. The calculation puts the energy relative to the elements at -0.70 eV/f.u. The energy above the most stable polymorph in this dataset is 76 meV per atom.

=====

# 8
VASP calculation (PBE) on an optimized crystal structure of Dy6HoSc4.

Geometry as CIF:
```
data_Dy6HoSc4
_space_group_name_H-M_alt 'P 1'
_space_group_IT_number 1
_cell_length_a 8.6445
_cell_length_b 8.6445
_cell_length_c 5.2359
_cell_angle_alpha 90.00
_cell_angle_beta 90.00
_cell_angle_gamma 120.00
loop_
_space_group_symop_operation_xyz
'x,y,z'
loop_
_atom_site_label
_atom_site_type_symbol
_atom_site_fract_x
_atom_site_fract_y
_atom_site_fract_z
Dy1 Dy 0.1990 0.3981 0.0000
Dy2 Dy 0.1990 0.8010 0.0000
Dy3 Dy 0.5331 0.0663 0.5000
Dy4 Dy 0.5331 0.4669 0.5000
Dy5 Dy 0.6019 0.8010 0.0000
Dy6 Dy 0.9337 0.4669 0.5000
Ho1 Ho 0.0000 0.0000 0.5000
Sc1 Sc 0.3333 0.6667 0.5000
Sc2 Sc 0.4272 0.2136 0.0000
Sc3 Sc 0.7864 0.2136 0.0000
Sc4 Sc 0.7864 0.5728 0.0000
```

For the calculated density, the calculation gives 6.47 g/cm3. The density of states at the Fermi level comes out at 19.4 states/eV per cell. Its total magnetization is 0.0 μB per formula unit. The calculation puts the energy relative to the elements at 3.84 eV/f.u.

=====

# 9
VASP calculation (PBE) on an optimized crystal structure of NdMg2CrN4.

Geometry as CIF:
```
data_NdMg2CrN4
_space_group_name_H-M_alt 'P 1'
_space_group_IT_number 1
_cell_length_a 5.9501
_cell_length_b 5.9501
_cell_length_c 10.5844
_cell_angle_alpha 90.00
_cell_angle_beta 90.00
_cell_angle_gamma 148.12
loop_
_space_group_symop_operation_xyz
'x,y,z'
loop_
_atom_site_label
_atom_site_type_symbol
_atom_site_fract_x
_atom_site_fract_y
_atom_site_fract_z
Nd1 Nd 0.0774 0.9226 0.7500
Nd2 Nd 0.9226 0.0774 0.2500
Mg1 Mg 0.3841 0.6159 0.5372
Mg2 Mg 0.3841 0.6159 0.9628
Mg3 Mg 0.6159 0.3841 0.0372
Mg4 Mg 0.6159 0.3841 0.4628
Cr1 Cr 0.1866 0.8134 0.2500
Cr2 Cr 0.8134 0.1866 0.7500
N1 N 0.0000 0.0000 0.0000
N2 N 0.0000 0.0000 0.5000
N3 N 0.2766 0.7234 0.1234
N4 N 0.2766 0.7234 0.3766
N5 N 0.4022 0.5978 0.7500
N6 N 0.5978 0.4022 0.2500
N7 N 0.7234 0.2766 0.6234
N8 N 0.7234 0.2766 0.8766
```

For the calculated density, the calculation gives 5.05 g/cm3. The density of states at the Fermi level comes out at 3.2 states/eV per cell. Its total magnetization is 0.8 μB per formula unit. Its formation energy without anion corrections is -0.78 eV/atom.

=====

# 10
VASP calculation (PBE) on an optimized crystal structure of Pm2Nd7Sm.

Geometry as CIF:
```
data_Pm2Nd7Sm
_space_group_name_H-M_alt 'P 1'
_space_group_IT_number 1
_cell_length_a 9.4097
_cell_length_b 9.4097
_cell_length_c 5.6263
_cell_angle_alpha 90.00
_cell_angle_beta 90.00
_cell_angle_gamma 123.59
loop_
_space_group_symop_operation_xyz
'x,y,z'
loop_
_atom_site_label
_atom_site_type_symbol
_atom_site_fract_x
_atom_site_fract_y
_atom_site_fract_z
Pm1 Pm 0.2038 0.7962 0.0000
Pm2 Pm 0.7962 0.2038 0.0000
Nd1 Nd 0.0000 0.0000 0.0000
Nd2 Nd 0.2063 0.4329 0.0000
Nd3 Nd 0.2761 0.7239 0.5000
Nd4 Nd 0.4329 0.2063 0.0000
Nd5 Nd 0.5671 0.7937 0.0000
Nd6 Nd 0.7239 0.2761 0.5000
Nd7 Nd 0.7937 0.5671 0.0000
Sm1 Sm 0.5000 0.5000 0.5000
```

For the calculated density, the calculation gives 5.80 g/cm3. The density of states at the Fermi level comes out at 15.5 states/eV per cell. Its total magnetization is 0.0 μB per formula unit. The calculation puts the energy relative to the elements at 6.22 eV/f.u. The energy above the most stable polymorph in this dataset is 255 meV per atom.

=====

# 11
VASP calculation (PBE) on an optimized crystal structure of NaPmIn2I6.

Geometry as CIF:
```
data_NaPmIn2I6
_space_group_name_H-M_alt 'P 1'
_space_group_IT_number 1
_cell_length_a 8.7693
_cell_length_b 8.7693
_cell_length_c 8.7693
_cell_angle_alpha 57.86
_cell_angle_beta 57.86
_cell_angle_gamma 57.86
loop_
_space_group_symop_operation_xyz
'x,y,z'
loop_
_atom_site_label
_atom_site_type_symbol
_atom_site_fract_x
_atom_site_fract_y
_atom_site_fract_z
Na1 Na 0.0000 0.0000 0.0000
Pm1 Pm 0.4941 0.4941 0.4941
In1 In 0.2943 0.2943 0.2943
In2 In 0.8000 0.8000 0.8000
I1 I 0.1345 0.7140 0.3687
I2 I 0.2392 0.6306 0.8441
I3 I 0.3687 0.1345 0.7140
I4 I 0.6306 0.8441 0.2392
I5 I 0.7140 0.3687 0.1345
I6 I 0.8441 0.2392 0.6306
```

For the calculated density, the calculation gives 4.24 g/cm3. The density of states at the Fermi level comes out at 0.0 states/eV per cell. Its total magnetization is 0.0 μB per formula unit. Its formation energy without anion corrections is -0.99 eV/atom.

=====

# 12
VASP calculation (PBE) on an optimized crystal structure of KVSb.

Geometry as CIF:
```
data_KVSb
_space_group_name_H-M_alt 'P 1'
_space_group_IT_number 1
_cell_length_a 4.9071
_cell_length_b 4.9071
_cell_length_c 9.6985
_cell_angle_alpha 105.29
_cell_angle_beta 105.29
_cell_angle_gamma 87.46
loop_
_space_group_symop_operation_xyz
'x,y,z'
loop_
_atom_site_label
_atom_site_type_symbol
_atom_site_fract_x
_atom_site_fract_y
_atom_site_fract_z
K1 K 0.1598 0.1598 0.3217
K2 K 0.8402 0.8402 0.6783
V1 V 0.3583 0.3583 0.9996
V2 V 0.6417 0.6417 0.0004
Sb1 Sb 0.3681 0.3681 0.7333
Sb2 Sb 0.6319 0.6319 0.2667
```

For the calculated density, the calculation gives 3.24 g/cm3. The density of states at the Fermi level comes out at 4.8 states/eV per cell. Its total magnetization is 0.0 μB per formula unit. Its formation energy without anion corrections is 0.35 eV/atom. The energy above the most stable polymorph in this dataset is 424 meV per atom.